Entry 1:
DFT (GGA-PBE) results for crystalline ErBeTe at its relaxed geometry.

Cell and atoms, written as extended XYZ:
```
6
Lattice="2.192 1.265 10.035 -2.192 1.265 10.035 0.000 -2.531 10.035" Properties=species:S:1:pos:R:3 pbc="T T T"
Er 0.000 0.000 1.631
Er 0.000 0.000 28.474
Be 0.000 0.000 9.850
Be 0.000 0.000 20.255
Te 0.000 0.000 6.919
Te 0.000 0.000 23.186
```

energy relative to the elements, uncorrected = -0.547 eV per atom
final energy = -26.143 eV per cell
magnetization = 0.00 μB per cell

Entry 2:
DFT (GGA-PBE) results for crystalline Er2BeTe at its relaxed geometry.

Cell and atoms, written as extended XYZ:
```
4
Lattice="1.934 1.116 9.691 -1.934 1.116 9.691 0.000 -2.233 9.691" Properties=species:S:1:pos:R:3 pbc="T T T"
Er 0.000 0.000 2.821
Er 0.000 0.000 26.251
Be 0.000 0.000 0.000
Te 0.000 0.000 14.536
```

energy relative to the elements, uncorrected = 0.304 eV per atom
final energy = -14.778 eV per cell
magnetization = 0.00 μB per cell

Entry 3:
DFT (GGA-PBE) results for crystalline ErThBe at its relaxed geometry.

Cell and atoms, written as extended XYZ:
```
6
Lattice="0.000 5.070 5.235 2.689 0.000 5.235 2.689 5.070 0.000" Properties=species:S:1:pos:R:3 pbc="T T T"
Er 2.689 5.070 1.665
Er 2.689 5.070 8.806
Th 2.689 3.413 5.235
Th 2.689 6.727 5.235
Be 1.345 2.535 2.618
Be 4.034 7.605 7.853
```

E_form = 0.14 eV/atom
final energy = -30.592 eV per cell
magnetization = 0.00 μB per cell

Entry 4:
DFT (GGA-PBE) results for crystalline ErThBe at its relaxed geometry.

Cell and atoms, written as extended XYZ:
```
3
Lattice="-1.710 1.710 6.205 1.710 -1.710 6.205 1.710 1.710 -6.205" Properties=species:S:1:pos:R:3 pbc="T T T"
Er 0.000 0.000 0.000
Th 0.000 0.000 3.500
Be 0.000 0.000 7.877
```

E_form = 0.15 eV/atom
final energy = -15.264 eV per cell
magnetization = 0.00 μB per cell